First-principles (PBE) data for a geometry-optimized BeSiOs2 structure, as listed in Alexandria via LeMat-Bulk.

ΔE_f (raw), meV per atom: -178.7
Magnetic moment, μB/cell: 0.0
Final energy, Ry/atom: -0.594

Unit cell a=4.5502 b=4.5502 c=4.2191 alpha=73.72 beta=73.72 gamma=36.52
With the nearest neighbours (Å) after each atom.
Positions (direct):
Be 0.2520 0.2520 0.1998  7 Os 2.43-2.59, 2 Si 2.64
Si 0.5013 0.5013 0.5417  7 Os 2.41-2.63, 2 Be 2.64
Os 0.9962 0.9962 0.0699  3 Be 2.43-2.47, 4 Si 2.46-2.63, 2 Os 2.71
Os 0.7504 0.7504 0.6886  3 Si 2.41-2.51, 4 Be 2.50-2.59